The following is a SCAN calculation of a crystal of Ca3InMo relaxed with PBEsol, from Alexandria via LeMat-Bulk.

## Properties
DOS(E_F) ... 2.97 states/eV/cell
Energy of formation ... 0.76 eV per atom
E_tot ... -18.695 eV per atom
M_tot ... 5.06 μB per cell

Unit cell a=5.817 b=5.817 c=5.817 alpha=90.00 beta=90.00 gamma=90.00
Each line ends with the local moment (μB).
Fractional coordinates of all 5 atoms:
1 In 0.000 0.000 0.000  -0.08
2 Ca 0.000 0.000 0.500  -0.01
3 Ca 0.000 0.500 0.000  -0.01
4 Ca 0.500 0.000 0.000  -0.01
5 Mo 0.500 0.500 0.500  4.12